VASP calculation (PBE-GGA) on a relaxed CaBSN2 crystal.

```
5
Lattice="3.5221 0.0000 0.0000 0.0000 3.5221 0.0000 0.0000 0.0000 4.9362" Properties=species:S:1:pos:R:3 pbc="T T T"
Ca 0.0000 0.0000 0.0000
B 1.7610 1.7610 2.4681
S 1.7610 1.7610 0.0000
N 0.0000 1.7610 2.4681
N 1.7610 0.0000 2.4681
```

Results
Calculated volume = 61 Å³ per cell
M_tot = 0.64 μB per cell
E_form (uncorrected) = 629 meV per atom
Space group = P4/mmm, No. 123